4
Lattice="-3.307 -2.766 -0.707 0.819 -4.155 -1.072 -0.817 -4.085 6.306" Properties=species:S:1:pos:R:3 comment="GdLuSb2 (PBE, relaxed)" total_energy_ev_per_atom=-7.81 total_magnetization_mub_per_cell=7.062 pbc="T T T"
Gd -1.652 -5.503 2.263
Sb -0.826 -2.739 1.083
Sb -2.479 -8.266 3.444
Lu 0.000 0.000 0.000